Entry from the Alexandria database: a crystal of Sc2AgPt2 relaxed with PBEsol (meta-GGA SCAN).

```
10
Lattice="3.260 0.000 0.000 0.000 7.434 0.000 0.000 0.000 7.434" Properties=species:S:1:pos:R:3 pbc="T T T"
Sc 1.630 1.217 4.934
Sc 1.630 4.934 6.217
Sc 1.630 6.217 2.500
Sc 1.630 2.500 1.217
Ag 0.000 0.000 0.000
Ag 0.000 3.717 3.717
Pt 0.000 2.715 6.432
Pt 0.000 6.432 4.718
Pt 0.000 4.718 1.001
Pt 0.000 1.001 2.715
```

Values from the calculation:
Its crystal system is tetragonal. For the formation energy, the calculation gives -1.11 eV/atom.